1.
This record from the Alexandria database describes a relaxed structure of CaZnSi. The functional is PBE-GGA.

Total DFT energy (no corrections) ... -3.348 eV per atom
Space group ... P6_3/mmc (194)
Magnetic moment ... 0.0 Bohr magnetons per cell
Formation energy (no corrections) ... -0.448 eV/atom

Geometry as CIF:
```
data_CaZnSi
_cell_length_a 4.2261
_cell_length_b 4.2261
_cell_length_c 8.2765
_cell_angle_alpha 90.00
_cell_angle_beta 90.00
_cell_angle_gamma 120.00
_space_group_name_H-M_alt 'P 1'
_space_group_IT_number 1
_space_group_name_Hall 'P 1'
loop_
_atom_site_label
_atom_site_type_symbol
_atom_site_fract_x
_atom_site_fract_y
_atom_site_fract_z
Ca1 Ca 0.0000 0.0000 0.0000
Ca2 Ca 0.0000 0.0000 0.5000
Zn1 Zn 0.3333 0.6667 0.2500
Zn2 Zn 0.6667 0.3333 0.7500
Si1 Si 0.3333 0.6667 0.7500
Si2 Si 0.6667 0.3333 0.2500
```

2.
This record from the Alexandria database describes a relaxed structure of PmGe2RuPt. The functional is PBE-GGA.

Total DFT energy (no corrections) ... -6.640 eV per atom
Calculated formation energy ... -780 meV/atom
Space group ... I-4m2 (119)
Magnetic moment ... 0.0 Bohr magnetons per cell

Geometry as CIF:
```
data_PmGe2RuPt
_cell_length_a 4.1908
_cell_length_b 4.1908
_cell_length_c 10.5569
_cell_angle_alpha 90.00
_cell_angle_beta 90.00
_cell_angle_gamma 90.00
_space_group_name_H-M_alt 'P 1'
_space_group_IT_number 1
_space_group_name_Hall 'P 1'
loop_
_atom_site_label
_atom_site_type_symbol
_atom_site_fract_x
_atom_site_fract_y
_atom_site_fract_z
Pm1 Pm 0.0000 0.0000 0.0000
Pm2 Pm 0.5000 0.5000 0.5000
Ge1 Ge 0.0000 0.0000 0.3781
Ge2 Ge 0.0000 0.0000 0.6219
Ge3 Ge 0.5000 0.5000 0.1219
Ge4 Ge 0.5000 0.5000 0.8781
Ru1 Ru 0.0000 0.5000 0.7500
Ru2 Ru 0.5000 0.0000 0.2500
Pt1 Pt 0.0000 0.5000 0.2500
Pt2 Pt 0.5000 0.0000 0.7500
```

3.
This record from the Alexandria database describes a relaxed structure of CoMoW. The functional is PBE-GGA.

Total DFT energy (no corrections) ... -10.242 eV per atom
Calculated formation energy ... 55 meV/atom
Space group ... Fmm2 (42)
E above lowest polymorph ... 49 meV per atom
Magnetic moment ... 0.0 Bohr magnetons per cell

Geometry as CIF:
```
data_CoMoW
_cell_length_a 3.6068
_cell_length_b 3.9365
_cell_length_c 11.9139
_cell_angle_alpha 90.00
_cell_angle_beta 90.00
_cell_angle_gamma 90.00
_space_group_name_H-M_alt 'P 1'
_space_group_IT_number 1
_space_group_name_Hall 'P 1'
loop_
_atom_site_label
_atom_site_type_symbol
_atom_site_fract_x
_atom_site_fract_y
_atom_site_fract_z
Co1 Co 0.0000 0.0000 0.0000
Co2 Co 0.0000 0.5000 0.5000
Co3 Co 0.5000 0.0000 0.5000
Co4 Co 0.5000 0.5000 0.0000
Mo1 Mo 0.0000 0.0000 0.3459
Mo2 Mo 0.0000 0.5000 0.8459
Mo3 Mo 0.5000 0.0000 0.8459
Mo4 Mo 0.5000 0.5000 0.3459
W1 W 0.0000 0.0000 0.6536
W2 W 0.0000 0.5000 0.1536
W3 W 0.5000 0.0000 0.1536
W4 W 0.5000 0.5000 0.6536
```

4.
This record from the Alexandria database describes a relaxed structure of Rb2CeThS4. The functional is PBE-GGA.

Total DFT energy (no corrections) ... -5.687 eV per atom
Space group ... P2/m (10)
Magnetic moment ... 1.7 Bohr magnetons per cell
Formation energy (no corrections) ... -1.713 eV/atom

Geometry as CIF:
```
data_Rb2CeThS4
_cell_length_a 7.2646
_cell_length_b 4.1940
_cell_length_c 8.1174
_cell_angle_alpha 90.00
_cell_angle_beta 107.34
_cell_angle_gamma 90.00
_space_group_name_H-M_alt 'P 1'
_space_group_IT_number 1
_space_group_name_Hall 'P 1'
loop_
_atom_site_label
_atom_site_type_symbol
_atom_site_fract_x
_atom_site_fract_y
_atom_site_fract_z
Rb1 Rb 0.0000 0.0000 0.0000
Rb2 Rb 0.5000 0.5000 0.0000
Ce1 Ce 0.0000 0.5000 0.5000
Th1 Th 0.5000 0.0000 0.5000
S1 S 0.2393 0.0000 0.6991
S2 S 0.2724 0.5000 0.3008
S3 S 0.7276 0.5000 0.6992
S4 S 0.7607 0.0000 0.3009
```

5.
This record from the Alexandria database describes a relaxed structure of LiSbTe4Pb2. The functional is PBE-GGA.

Total DFT energy (no corrections) ... -3.653 eV per atom
Space group ... P2/m (10)
Magnetic moment ... 0.0 Bohr magnetons per cell
Formation energy (no corrections) ... -0.400 eV/atom

Geometry as CIF:
```
data_LiSbTe4Pb2
_cell_length_a 7.7077
_cell_length_b 4.4931
_cell_length_c 7.7627
_cell_angle_alpha 90.00
_cell_angle_beta 108.99
_cell_angle_gamma 90.00
_space_group_name_H-M_alt 'P 1'
_space_group_IT_number 1
_space_group_name_Hall 'P 1'
loop_
_atom_site_label
_atom_site_type_symbol
_atom_site_fract_x
_atom_site_fract_y
_atom_site_fract_z
Li1 Li 0.0000 0.0000 0.0000
Sb1 Sb 0.5000 0.5000 0.0000
Te1 Te 0.2406 0.5000 0.2293
Te2 Te 0.2508 0.0000 0.7726
Te3 Te 0.7492 0.0000 0.2274
Te4 Te 0.7594 0.5000 0.7707
Pb1 Pb 0.0000 0.5000 0.5000
Pb2 Pb 0.5000 0.0000 0.5000
```

6.
This record from the Alexandria database describes a relaxed structure of AgRuSe3. The functional is PBE-GGA.

Total DFT energy (no corrections) ... -4.014 eV per atom
Space group ... Pm-3m (221)
E above lowest polymorph ... 0 meV per atom
Magnetic moment ... 0.0 Bohr magnetons per cell
Formation energy (no corrections) ... 0.503 eV/atom

Geometry as CIF:
```
data_AgRuSe3
_cell_length_a 4.8959
_cell_length_b 4.8959
_cell_length_c 4.8959
_cell_angle_alpha 90.00
_cell_angle_beta 90.00
_cell_angle_gamma 90.00
_space_group_name_H-M_alt 'P 1'
_space_group_IT_number 1
_space_group_name_Hall 'P 1'
loop_
_atom_site_label
_atom_site_type_symbol
_atom_site_fract_x
_atom_site_fract_y
_atom_site_fract_z
Ag1 Ag 0.0000 0.0000 0.0000
Ru1 Ru 0.5000 0.5000 0.5000
Se1 Se 0.0000 0.5000 0.5000
Se2 Se 0.5000 0.0000 0.5000
Se3 Se 0.5000 0.5000 0.0000
```

7.
This record from the Alexandria database describes a relaxed structure of ReAgF2. The functional is PBE-GGA.

Total DFT energy (no corrections) ... -5.605 eV per atom
Space group ... R-3m (166)
E above lowest polymorph ... 0 meV per atom
Magnetic moment ... 1.4 Bohr magnetons per cell
Formation energy (no corrections) ... -0.844 eV/atom

Geometry as CIF:
```
data_ReAgF2
_cell_length_a 2.7835
_cell_length_b 2.7835
_cell_length_c 28.0499
_cell_angle_alpha 90.00
_cell_angle_beta 90.00
_cell_angle_gamma 120.00
_space_group_name_H-M_alt 'P 1'
_space_group_IT_number 1
_space_group_name_Hall 'P 1'
loop_
_atom_site_label
_atom_site_type_symbol
_atom_site_fract_x
_atom_site_fract_y
_atom_site_fract_z
Re1 Re 0.0000 0.0000 0.0000
Re2 Re 0.3333 0.6667 0.6667
Re3 Re 0.6667 0.3333 0.3333
Ag1 Ag 0.0000 0.0000 0.5000
Ag2 Ag 0.3333 0.6667 0.1667
Ag3 Ag 0.6667 0.3333 0.8333
F1 F 0.0000 0.0000 0.0677
F2 F 0.0000 0.0000 0.9323
F3 F 0.3333 0.6667 0.5990
F4 F 0.3333 0.6667 0.7344
F5 F 0.6667 0.3333 0.2656
F6 F 0.6667 0.3333 0.4010
```

8.
This record from the Alexandria database describes a relaxed structure of Pu2ScPaTe4. The functional is PBE-GGA.

Total DFT energy (no corrections) ... -8.089 eV per atom
Space group ... P2/m (10)
Magnetic moment ... 13.1 Bohr magnetons per cell
Formation energy (no corrections) ... -0.957 eV/atom

Geometry as CIF:
```
data_Pu2ScPaTe4
_cell_length_a 7.5185
_cell_length_b 4.2840
_cell_length_c 7.6019
_cell_angle_alpha 90.00
_cell_angle_beta 108.65
_cell_angle_gamma 90.00
_space_group_name_H-M_alt 'P 1'
_space_group_IT_number 1
_space_group_name_Hall 'P 1'
loop_
_atom_site_label
_atom_site_type_symbol
_atom_site_fract_x
_atom_site_fract_y
_atom_site_fract_z
Pu1 Pu 0.0000 0.0000 0.0000
Pu2 Pu 0.0000 0.5000 0.5000
Sc1 Sc 0.5000 0.0000 0.5000
Pa1 Pa 0.5000 0.5000 0.0000
Te1 Te 0.2554 0.0000 0.7425
Te2 Te 0.2629 0.5000 0.2630
Te3 Te 0.7371 0.5000 0.7370
Te4 Te 0.7446 0.0000 0.2575
```

9.
This record from the Alexandria database describes a relaxed structure of MgBPd3. The functional is PBE-GGA.

Total DFT energy (no corrections) ... -5.102 eV per atom
Calculated formation energy ... -332 meV/atom
Space group ... C2/c (15)
E above lowest polymorph ... 153 meV per atom
Magnetic moment ... 0.0 Bohr magnetons per cell

Geometry as CIF:
```
data_MgBPd3
_cell_length_a 7.4099
_cell_length_b 7.4099
_cell_length_c 5.6672
_cell_angle_alpha 105.05
_cell_angle_beta 105.05
_cell_angle_gamma 90.02
_space_group_name_H-M_alt 'P 1'
_space_group_IT_number 1
_space_group_name_Hall 'P 1'
loop_
_atom_site_label
_atom_site_type_symbol
_atom_site_fract_x
_atom_site_fract_y
_atom_site_fract_z
Mg1 Mg 0.0156 0.9844 0.7500
Mg2 Mg 0.3433 0.6567 0.7500
Mg3 Mg 0.6567 0.3433 0.2500
Mg4 Mg 0.9844 0.0156 0.2500
B1 B 0.1580 0.3981 0.3440
B2 B 0.3981 0.1580 0.8440
B3 B 0.6019 0.8420 0.1560
B4 B 0.8420 0.6019 0.6560
Pd1 Pd 0.0058 0.3475 0.5953
Pd2 Pd 0.0708 0.6985 0.9737
Pd3 Pd 0.3015 0.9292 0.5263
Pd4 Pd 0.3054 0.4014 0.0665
Pd5 Pd 0.3475 0.0058 0.0953
Pd6 Pd 0.4014 0.3054 0.5665
Pd7 Pd 0.5986 0.6946 0.4335
Pd8 Pd 0.6525 0.9942 0.9047
Pd9 Pd 0.6946 0.5986 0.9335
Pd10 Pd 0.6985 0.0708 0.4737
Pd11 Pd 0.9292 0.3015 0.0263
Pd12 Pd 0.9942 0.6525 0.4047
```

10.
This record from the Alexandria database describes a relaxed structure of Mg2BeNi2. The functional is PBE-GGA.

Total DFT energy (no corrections) ... -3.360 eV per atom
Calculated formation energy ... 336 meV/atom
Space group ... I4/mmm (139)
E above lowest polymorph ... 492 meV per atom
Magnetic moment ... 0.9 Bohr magnetons per cell

Geometry as CIF:
```
data_Mg2BeNi2
_cell_length_a 3.2449
_cell_length_b 3.2449
_cell_length_c 14.7743
_cell_angle_alpha 90.00
_cell_angle_beta 90.00
_cell_angle_gamma 90.00
_space_group_name_H-M_alt 'P 1'
_space_group_IT_number 1
_space_group_name_Hall 'P 1'
loop_
_atom_site_label
_atom_site_type_symbol
_atom_site_fract_x
_atom_site_fract_y
_atom_site_fract_z
Mg1 Mg 0.0000 0.0000 0.1062
Mg2 Mg 0.0000 0.0000 0.8938
Mg3 Mg 0.5000 0.5000 0.3938
Mg4 Mg 0.5000 0.5000 0.6062
Be1 Be 0.0000 0.0000 0.5000
Be2 Be 0.5000 0.5000 0.0000
Ni1 Ni 0.0000 0.5000 0.2500
Ni2 Ni 0.0000 0.5000 0.7500
Ni3 Ni 0.5000 0.0000 0.2500
Ni4 Ni 0.5000 0.0000 0.7500
```